# Ni2AgPtN PBE-GGA relaxed
# Energy relative to the elements, uncorrected: 0.165 eV per atom
# Electronic total energy: -0.4109 Ry/atom
data_Ni2AgPtN
_chemical_formula_sum 'Ni2 Ag1 Pt1 N1'
_cell_length_a 3.8729
_cell_length_b 3.8729
_cell_length_c 4.1651
_cell_angle_alpha 90.00
_cell_angle_beta 90.00
_cell_angle_gamma 90.00
_space_group_name_H-M_alt 'P 1'
_space_group_IT_number 1
loop_
_space_group_symop_operation_xyz
'x,y,z'
loop_
_atom_site_label
_atom_site_type_symbol
_atom_site_fract_x
_atom_site_fract_y
_atom_site_fract_z
_atom_site_occupancy
Ni1 Ni 0.0000 0.5000 0.0000 1
Ni2 Ni 0.5000 0.0000 0.0000 1
Ag1 Ag 0.0000 0.0000 0.5000 1
Pt1 Pt 0.5000 0.5000 0.5000 1
N1 N 0.5000 0.5000 0.0000 1